Record 1
Below is crystalline K2Hg2Rh at its relaxed geometry, with properties calculated at the GGA-PBE level.

Calculated values
* N(E_F): 2.28 states/eV/f.u.
* formation energy from the elements: 41 meV/atom

Unit cell a=7.2954 b=7.2954 c=5.5913 alpha=90.00 beta=90.00 gamma=90.00
Atoms (fractional coordinates):
Rh: 0.5000 0.5000 0.0000
Rh: 0.0000 0.0000 0.0000
K: 0.1728 0.6728 0.5000
K: 0.8272 0.3272 0.5000
K: 0.6728 0.8272 0.5000
K: 0.3272 0.1728 0.5000
Hg: 0.8377 0.6623 0.0000
Hg: 0.3377 0.8377 0.0000
Hg: 0.1623 0.3377 0.0000
Hg: 0.6623 0.1623 0.0000


Record 2
Below is crystalline KHg2Rh at its relaxed geometry, with properties calculated at the GGA-PBE level.

Calculated values
* N(E_F): 2.16 states/eV/f.u.
* relative energy among the computed polymorphs: 0 kJ/mol of formula units
* formation energy from the elements: 22 meV/atom

Unit cell a=8.0506 b=8.0506 c=8.0506 alpha=156.88 beta=147.86 gamma=39.97
Atoms (fractional coordinates):
Hg: 0.7505 0.2505 0.5000
Hg: 0.0833 0.0833 0.0000
Rh: 0.2349 0.7349 0.5000
K: 0.4314 0.4314 0.0000


Record 3
Below is crystalline KHg2Rh at its relaxed geometry, with properties calculated at the GGA-PBE level.

Calculated values
* N(E_F): 2.03 states/eV/f.u.
* relative energy among the computed polymorphs: 13 kJ/mol of formula units
* formation energy from the elements: 55 meV/atom

Unit cell a=4.3926 b=3.2813 c=7.6266 alpha=89.94 beta=90.00 gamma=90.00
Atoms (fractional coordinates):
Rh: 0.5000 0.6254 0.8993
K: 0.0000 0.6241 0.5054
Hg: 0.0000 0.1252 0.8924
Hg: 0.5000 0.1252 0.2029